Below is a relaxed structure of HgBiAsBr2, with properties calculated at the GGA-PBE level.

Unit cell a=5.781 b=5.781 c=5.868 alpha=90.00 beta=90.00 gamma=90.00
Positions (direct):
Hg: 0.500 0.500 0.500
Bi: 0.000 0.000 0.000
Br: 0.000 0.500 0.000
Br: 0.500 0.000 0.000
As: 0.000 0.000 0.500

Output
Symmetry   P4/mmm, No. 123
Total magnetic moment   1.95 μB per formula unit
Uncorrected formation energy   0.4 eV/f.u.
ΔE to the lowest computed polymorph   0 meV per atom